# HgH4NCl3, relaxed, DFT GGA-PBE
# total magnetization	0.0	μB/f.u.
# total DFT energy (no corrections)	-33.2	eV/f.u.
data_HgH4NCl3
_chemical_formula_sum 'Hg4 H16 N4 Cl12'
_symmetry_space_group_name_H-M 'P n m a'
_symmetry_Int_Tables_number 62
_cell_length_a 10.427
_cell_length_b 4.655
_cell_length_c 13.706
_cell_angle_alpha 90.00
_cell_angle_beta 90.00
_cell_angle_gamma 90.00
loop_
_symmetry_equiv_pos_as_xyz
'x,y,z'
'-x,-y,-z'
'-x+1/2,-y,z+1/2'
'x+1/2,y,-z+1/2'
'x+1/2,-y+1/2,-z+1/2'
'-x+1/2,y+1/2,z+1/2'
'-x,y+1/2,-z'
'x,-y+1/2,z'
loop_
_atom_site_label
_atom_site_type_symbol
_atom_site_fract_x
_atom_site_fract_y
_atom_site_fract_z
Hg1 Hg 0.167 0.250 0.031
H1 H 0.022 0.250 0.718
H2 H 0.064 0.250 0.598
H3 H 0.067 0.569 0.366
N1 N 0.012 0.750 0.353
Cl1 Cl 0.029 0.250 0.892
Cl2 Cl 0.175 0.250 0.459
Cl3 Cl 0.234 0.750 0.685